# PBE PmAg8Se6, relaxed
# E in Ry/atom: -0.2617
# E_form (uncorrected) in eV/f.u.: -4.93
data_PmAg8Se6
_chemical_formula_sum 'Pm3 Ag24 Se18'
_symmetry_space_group_name_H-M 'R -3'
_symmetry_Int_Tables_number 148
_symmetry_space_group_name_Hall '-R 3'
_cell_length_a 7.4248
_cell_length_b 7.4248
_cell_length_c 21.4169
_cell_angle_alpha 90.00
_cell_angle_beta 90.00
_cell_angle_gamma 120.00
loop_
_atom_site_label
_atom_site_type_symbol
_atom_site_fract_x
_atom_site_fract_y
_atom_site_fract_z
Pm1 Pm 0.0000 0.0000 0.0000
Ag1 Ag 0.0000 0.0000 0.3385
Ag2 Ag 0.0132 0.3080 0.1308
Se1 Se 0.0073 0.3247 0.2604